# 1
The following is a PBE calculation of crystalline KSrBe3 at its relaxed geometry, from Alexandria.

Properties
- Energy: -1.133 eV per atom

Lattice parameters (Å, degrees): 5.316 5.316 5.316 90.00 90.00 90.00
Atoms (fractional coordinates):
Sr: 0.500 0.500 0.500
K: 0.000 0.000 0.000
Be: 0.000 0.500 0.000
Be: 0.000 0.000 0.500
Be: 0.500 0.000 0.000


# 2
The following is a PBE calculation of crystalline KSrBe at its relaxed geometry, from Alexandria.

Properties
- Energy: -1.492 eV per atom

Lattice parameters (Å, degrees): 4.483 4.483 7.793 90.00 90.00 120.00
Atoms (fractional coordinates):
Sr: 0.333 0.667 0.764
K: 0.667 0.333 0.257
Be: 0.000 0.000 0.980


# 3
The following is a PBE calculation of crystalline K4SrBe at its relaxed geometry, from Alexandria.

Properties
- Energy: -0.967 eV per atom

Lattice parameters (Å, degrees): 7.897 7.897 7.897 60.00 60.00 60.00
Atoms (fractional coordinates):
K: 0.877 0.374 0.374
K: 0.374 0.374 0.877
K: 0.374 0.877 0.374
K: 0.374 0.374 0.374
Sr: 0.750 0.750 0.750
Be: 0.000 0.000 0.000


# 4
The following is a PBE calculation of crystalline KSrBe4 at its relaxed geometry, from Alexandria.

Properties
- Energy: -2.197 eV per atom

Lattice parameters (Å, degrees): 5.608 5.608 5.608 60.00 60.00 60.00
Atoms (fractional coordinates):
K: 0.750 0.750 0.750
Sr: 0.000 0.000 0.000
Be: 0.959 0.347 0.347
Be: 0.347 0.347 0.959
Be: 0.347 0.959 0.347
Be: 0.347 0.347 0.347